First-principles (PBEsol) data for Ba4C3 after structural relaxation, as listed in the Alexandria database.

Results
SG   Pm-3m
Calculated formation energy   1138 meV per atom

Geometry as POSCAR:
```
Ba4C3
1.0
5.889 0.000 0.000
0.000 5.889 0.000
0.000 0.000 5.889
Ba C
4 3
Cartesian
0.000 0.000 0.000
0.000 2.945 2.945
2.945 0.000 2.945
2.945 2.945 0.000
0.000 0.000 2.945
0.000 2.945 0.000
2.945 0.000 0.000
```


First-principles (PBEsol) data for Te2IrC after structural relaxation, as listed in the Alexandria database.

Results
SG   R-3m
E_form (uncorrected)   1.421 eV per atom

Geometry as POSCAR:
```
Te2IrC
1.0
1.586 0.916 8.245
-1.586 0.916 8.245
0.000 -1.832 8.245
Te Ir C
2 1 1
Cartesian
0.000 0.000 2.546
0.000 0.000 22.190
0.000 0.000 0.000
0.000 0.000 12.368
```


First-principles (PBEsol) data for Zr2ReHg after structural relaxation, as listed in the Alexandria database.

Results
SG   P4/mmm
Calculated formation energy   -309 meV per atom

Geometry as POSCAR:
```
Zr2ReHg
1.0
3.315 0.000 0.000
0.000 3.315 0.000
0.000 0.000 6.992
Zr Re Hg
2 1 1
Cartesian
0.000 0.000 1.562
0.000 0.000 5.429
1.658 1.658 0.000
1.658 1.658 3.496
```


First-principles (PBEsol) data for SnI3Br after structural relaxation, as listed in the Alexandria database.

Results
SG   Pm-3m
E_form (uncorrected)   0.384 eV per atom

Geometry as POSCAR:
```
SnI3Br
1.0
5.782 0.000 0.000
0.000 5.782 0.000
0.000 0.000 5.782
Sn I Br
1 3 1
Cartesian
0.000 0.000 0.000
0.000 2.891 2.891
2.891 0.000 2.891
2.891 2.891 0.000
2.891 2.891 2.891
```


First-principles (PBEsol) data for Sr2CuF6 after structural relaxation, as listed in the Alexandria database.

Results
SG   P-4b2
E_form (uncorrected)   -3.112 eV per atom

Geometry as POSCAR:
```
Sr2CuF6
1.0
5.701 0.000 0.000
0.000 5.701 0.000
0.000 0.000 16.307
Sr Cu F
8 4 24
Cartesian
0.000 0.000 2.635
0.000 0.000 13.672
0.000 2.851 5.514
0.000 2.851 10.793
2.851 0.000 5.514
2.851 0.000 10.793
2.851 2.851 2.635
2.851 2.851 13.672
0.000 0.000 8.154
0.000 2.851 0.000
2.851 0.000 0.000
2.851 2.851 8.154
0.955 1.899 1.320
0.952 1.896 14.987
0.994 0.997 9.459
0.997 4.707 6.849
1.389 4.275 12.235
1.426 1.389 4.073
1.424 4.239 4.073
1.462 1.424 12.235
1.853 1.856 6.849
1.856 3.848 9.459
1.896 4.750 1.320
1.899 4.747 14.987
3.805 0.952 1.320
3.802 0.955 14.987
3.845 1.853 9.459
3.848 3.845 6.849
4.239 4.277 12.235
4.277 1.462 4.073
4.275 4.313 4.073
4.313 1.426 12.235
4.704 0.994 6.849
4.707 4.704 9.459
4.747 3.802 1.320
4.750 3.805 14.987
```


First-principles (PBEsol) data for SrCa2Al after structural relaxation, as listed in the Alexandria database.

Results
SG   P4/mmm
Calculated formation energy   -71 meV per atom

Geometry as POSCAR:
```
SrCa2Al
1.0
3.781 0.000 0.000
0.000 3.781 0.000
0.000 0.000 9.805
Sr Ca Al
1 2 1
Cartesian
0.000 0.000 0.000
1.890 1.890 3.112
1.890 1.890 6.693
0.000 0.000 4.903
```